DFT (PBE-GGA) results for a relaxed CrRe2HIr crystal. Values from VASP.

Quantum ESPRESSO input file:
```
&SYSTEM
  ibrav = 0, nat = 5, ntyp = 4
/
ATOMIC_SPECIES
Re 186.21 Re.upf
Ir 192.22 Ir.upf
H 1.01 H.upf
Cr 52.00 Cr.upf
ATOMIC_POSITIONS angstrom
Re 0.369 -1.702 0.877
Re -1.833 -0.057 0.661
Ir -0.919 -0.820 3.130
H 0.000 0.000 0.000
Cr 0.545 0.938 1.592
CELL_PARAMETERS angstrom
-3.666 -0.114 1.323
0.738 -3.403 1.753
1.090 1.876 3.183
```

Output
Crystal system   tetragonal
Raw total energy   -46.64 eV per formula unit
N(E_F)   3.73 states/eV per cell
Calculated density   17.51 g/cm3